VASP calculation (GGA-PBE) on crystalline Be2ZnFeW at its relaxed geometry.

Computed properties:
The value obtained for the spin magnetization is 2.382 μB/cell. Its density of states at the Fermi level is 2.790 states/eV/f.u. For the formation energy from the elements, the calculation gives 1148 meV per atom. The space group is No. 123.

Cell lengths 3.936, 3.936, 4.300 Å; angles 90.00, 90.00, 90.00 degrees
Atoms (fractional coordinates):
Be1 0.000 0.500 0.000
Be2 0.500 0.000 0.000
Zn1 0.000 0.000 0.000
Fe1 0.000 0.000 0.500
W1 0.500 0.500 0.500